The following is a DFT calculation (PBE) of a geometry-optimized Er2MgScC structure.

- crystal system = tetragonal
- D(E_F) (states/eV per cell) = 5.97
- total magnetic moment (μB per cell) = 0.00
- formation energy (meV/atom) = -253

Cell: 4.971 4.971 4.532 Å, 90.00 90.00 90.00°
Space group P4/mmm (No. 123)
Symmetry-distinct sites (fractional):
Er: 0.000 0.500 0.000
Mg: 0.000 0.000 0.500
Sc: 0.500 0.500 0.500
C: 0.500 0.500 0.000